VASP calculation (PBE) on La2Be3Si4Ni after structural relaxation.

Cell and atoms, written as POSCAR:
```
La2Be3Si4Ni
1.0
4.039 0.000 0.000
0.000 4.039 0.000
0.000 0.000 9.750
La Be Si Ni
2 3 4 1
direct
0.000 0.500 0.247 La
0.500 0.000 0.753 La
0.000 0.000 0.000 Be
0.000 0.500 0.630 Be
0.500 0.000 0.370 Be
0.000 0.000 0.500 Si
0.000 0.500 0.876 Si
0.500 0.000 0.124 Si
0.500 0.500 0.500 Si
0.500 0.500 0.000 Ni
```

Computed properties:
Magnetization (μB per cell): 0.00
SG: P-4m2
DFT total energy (eV/atom): -5.3514


VASP calculation (PBE) on La2YBeNi after structural relaxation.

Cell and atoms, written as POSCAR:
```
La2YBeNi
1.0
5.471 0.000 0.000
0.000 5.471 0.000
0.000 0.000 4.438
La Y Be Ni
2 1 1 1
direct
0.000 0.500 0.000 La
0.500 0.000 0.000 La
0.000 0.000 0.500 Y
0.500 0.500 0.500 Be
0.500 0.500 0.000 Ni
```

Computed properties:
Magnetization (μB per cell): 0.68
SG: P4/mmm
Calculated formation energy (eV/atom): 0.160


VASP calculation (PBE) on LaBeZnNi6 after structural relaxation.

Cell and atoms, written as POSCAR:
```
LaBeZnNi6
1.0
-2.530 3.697 6.651
2.530 -3.697 6.651
2.530 3.697 -6.651
La Be Zn Ni
2 2 2 12
direct
0.251 0.001 0.250 La
0.749 0.999 0.750 La
0.500 0.000 0.000 Be
0.500 0.500 0.500 Be
0.000 0.500 0.500 Zn
0.500 0.500 0.000 Zn
0.002 0.752 0.250 Ni
0.145 0.408 0.235 Ni
0.145 0.910 0.736 Ni
0.326 0.090 0.735 Ni
0.326 0.592 0.236 Ni
0.368 0.618 0.750 Ni
0.632 0.382 0.250 Ni
0.674 0.408 0.764 Ni
0.674 0.910 0.265 Ni
0.855 0.090 0.264 Ni
0.855 0.592 0.765 Ni
0.998 0.248 0.750 Ni
```

Computed properties:
Magnetization (μB per cell): 0.47
SG: Imma
Calculated formation energy (eV/atom): -0.126


> Which value of magnetization does entry 3 give?

0.47 μB per cell


> The lowest magnetization belongs to which entry?

La2Be3Si4Ni


What did the first record say?
VASP calculation (PBE) on La2Be3Si4Ni after structural relaxation.

Cell and atoms, written as POSCAR:
```
La2Be3Si4Ni
1.0
4.039 0.000 0.000
0.000 4.039 0.000
0.000 0.000 9.750
La Be Si Ni
2 3 4 1
direct
0.000 0.500 0.247 La
0.500 0.000 0.753 La
0.000 0.000 0.000 Be
0.000 0.500 0.630 Be
0.500 0.000 0.370 Be
0.000 0.000 0.500 Si
0.000 0.500 0.876 Si
0.500 0.000 0.124 Si
0.500 0.500 0.500 Si
0.500 0.500 0.000 Ni
```

Computed properties:
Magnetization (μB per cell): 0.00
SG: P-4m2
DFT total energy (eV/atom): -5.3514